[1]
This record from Alexandria via LeMat-Bulk describes CsAcO3 after structural relaxation. The functional is PBE-GGA.

Values from the calculation:
Raw total energy: -28.84 eV for the cell shown

The structure in CIF format:
```
data_CsAcO3
_cell_length_a 4.789
_cell_length_b 4.789
_cell_length_c 4.789
_cell_angle_alpha 90.00
_cell_angle_beta 90.00
_cell_angle_gamma 90.00
_symmetry_space_group_name_H-M 'P m -3 m'
_symmetry_Int_Tables_number 221
_symmetry_space_group_name_Hall '-P 4 2 3'
loop_
_atom_site_label
_atom_site_type_symbol
_atom_site_fract_x
_atom_site_fract_y
_atom_site_fract_z
Cs1 Cs 0.000 0.000 0.000
Ac1 Ac 0.500 0.500 0.500
O1 O 0.000 0.500 0.500
```

***

[2]
This record from Alexandria via LeMat-Bulk describes Ho2Tm3Ag2 after structural relaxation. The functional is PBE-GGA.

Values from the calculation:
DFT formation energy: -0.1106 eV per atom
Offset from the most stable computed form: 2.3 meV/atom
Raw total energy: -29.05 eV for the cell shown

The structure in CIF format:
```
data_Ho2Tm3Ag2
_cell_length_a 3.531
_cell_length_b 3.523
_cell_length_c 15.282
_cell_angle_alpha 90.00
_cell_angle_beta 96.62
_cell_angle_gamma 90.00
_symmetry_space_group_name_H-M 'P 1 2/m 1'
_symmetry_Int_Tables_number 10
loop_
_symmetry_equiv_pos_as_xyz
'x,y,z'
'-x,-y,-z'
'-x,y,-z'
'x,-y,z'
loop_
_atom_site_label
_atom_site_type_symbol
_atom_site_fract_x
_atom_site_fract_y
_atom_site_fract_z
Ho1 Ho 0.201 0.000 0.402
Tm1 Tm 0.379 0.500 0.758
Tm2 Tm 0.500 0.500 0.000
Ag1 Ag 0.059 0.000 0.119
```

***

[3]
This record from Alexandria via LeMat-Bulk describes BePb3Au after structural relaxation. The functional is PBE-GGA.

Values from the calculation:
DFT formation energy: 0.8285 eV per atom
Offset from the most stable computed form: 450.0 meV/atom
Raw total energy: -13.99 eV for the cell shown

The structure in CIF format:
```
data_BePb3Au
_cell_length_a 5.562
_cell_length_b 5.562
_cell_length_c 5.562
_cell_angle_alpha 90.00
_cell_angle_beta 90.00
_cell_angle_gamma 90.00
_symmetry_space_group_name_H-M 'P m -3 m'
_symmetry_Int_Tables_number 221
_symmetry_space_group_name_Hall '-P 4 2 3'
loop_
_atom_site_label
_atom_site_type_symbol
_atom_site_fract_x
_atom_site_fract_y
_atom_site_fract_z
Be1 Be 0.000 0.000 0.000
Pb1 Pb 0.000 0.500 0.500
Au1 Au 0.500 0.500 0.500
```